[1]
Material: CaY2Sc
Method: DFT, PBEsol
State: optimized geometry

Properties
The excess energy over the best structure of this formula in the dataset is 130.0 meV per atom. As for the total moment: 0.9 μB/f.u.

```
data_CaY2Sc
_symmetry_space_group_name_H-M 'C 1 2/m 1'
_symmetry_Int_Tables_number 12
_cell_length_a 6.817
_cell_length_b 11.204
_cell_length_c 3.372
_cell_angle_alpha 90.00
_cell_angle_beta 108.96
_cell_angle_gamma 90.00
loop_
_symmetry_equiv_pos_as_xyz
'x,y,z'
'-x,-y,-z'
'-x,y,-z'
'x,-y,z'
'x+1/2,y+1/2,z'
'-x+1/2,-y+1/2,-z'
'-x+1/2,y+1/2,-z'
'x+1/2,-y+1/2,z'
loop_
_atom_site_label
_atom_site_fract_x
_atom_site_fract_y
_atom_site_fract_z
Ca1 0.000 0.000 0.000
Y1 0.250 0.250 0.500
Sc1 0.000 0.500 0.000
```

[2]
Material: CaY2Sc
Method: DFT, PBEsol
State: optimized geometry

Properties
The excess energy over the best structure of this formula in the dataset is 0.0 meV per atom. As for the total moment: 0.0 μB/f.u.

```
data_CaY2Sc
_symmetry_space_group_name_H-M 'P 4/m m m'
_symmetry_Int_Tables_number 123
_symmetry_space_group_name_Hall '-P 4 2'
_cell_length_a 3.798
_cell_length_b 3.798
_cell_length_c 8.706
_cell_angle_alpha 90.00
_cell_angle_beta 90.00
_cell_angle_gamma 90.00
loop_
_atom_site_label
_atom_site_fract_x
_atom_site_fract_y
_atom_site_fract_z
Ca1 0.000 0.000 0.000
Y1 0.500 0.500 0.295
Sc1 0.000 0.000 0.500
```

[3]
Material: CaY3Sc
Method: DFT, PBEsol
State: optimized geometry

Properties
As for the total moment: 0.0 μB/f.u.

```
data_CaY3Sc
_symmetry_space_group_name_H-M 'P m -3 m'
_symmetry_Int_Tables_number 221
_symmetry_space_group_name_Hall '-P 4 2 3'
_cell_length_a 5.437
_cell_length_b 5.437
_cell_length_c 5.437
_cell_angle_alpha 90.00
_cell_angle_beta 90.00
_cell_angle_gamma 90.00
loop_
_atom_site_label
_atom_site_fract_x
_atom_site_fract_y
_atom_site_fract_z
Ca1 0.000 0.000 0.000
Y1 0.000 0.000 0.500
Sc1 0.500 0.500 0.500
```

[4]
Material: CaY2Sc
Method: DFT, PBEsol
State: optimized geometry

Properties
The excess energy over the best structure of this formula in the dataset is 67.4 meV per atom. As for the total moment: 0.0 μB/f.u.

```
data_CaY2Sc
_symmetry_space_group_name_H-M 'P m m 2'
_symmetry_Int_Tables_number 25
_cell_length_a 3.478
_cell_length_b 4.925
_cell_length_c 7.086
_cell_angle_alpha 90.00
_cell_angle_beta 90.00
_cell_angle_gamma 90.00
loop_
_symmetry_equiv_pos_as_xyz
'x,y,z'
'-x,-y,z'
'-x,y,z'
'x,-y,z'
loop_
_atom_site_label
_atom_site_fract_x
_atom_site_fract_y
_atom_site_fract_z
Ca1 0.000 0.000 0.000
Y1 0.000 0.000 0.487
Y2 0.500 0.500 0.726
Sc1 0.500 0.500 0.262
```

[5]
Material: CaY2Sc
Method: DFT, PBEsol
State: optimized geometry

Properties
The excess energy over the best structure of this formula in the dataset is 139.1 meV per atom. As for the total moment: 1.0 μB/f.u.

```
data_CaY2Sc
_symmetry_space_group_name_H-M 'F -4 3 m'
_symmetry_Int_Tables_number 216
_symmetry_space_group_name_Hall 'F -4 2 3'
_cell_length_a 7.863
_cell_length_b 7.863
_cell_length_c 7.863
_cell_angle_alpha 90.00
_cell_angle_beta 90.00
_cell_angle_gamma 90.00
loop_
_atom_site_label
_atom_site_fract_x
_atom_site_fract_y
_atom_site_fract_z
Ca1 0.000 0.000 0.000
Y1 0.000 0.000 0.500
Y2 0.250 0.250 0.250
Sc1 0.250 0.250 0.750
```

[6]
Material: CaSc2Zn
Method: DFT, PBEsol
State: optimized geometry

Properties
As for the total moment: 0.0 μB/f.u.

```
data_CaSc2Zn
_symmetry_space_group_name_H-M 'P 4/m m m'
_symmetry_Int_Tables_number 123
_symmetry_space_group_name_Hall '-P 4 2'
_cell_length_a 4.492
_cell_length_b 4.492
_cell_length_c 4.514
_cell_angle_alpha 90.00
_cell_angle_beta 90.00
_cell_angle_gamma 90.00
loop_
_atom_site_label
_atom_site_fract_x
_atom_site_fract_y
_atom_site_fract_z
Ca1 0.000 0.000 0.000
Sc1 0.000 0.500 0.500
Zn1 0.500 0.500 0.000
```

Summary of formation energy in eV/atom
0.21, 0.08, 0.95, 0.14, 0.22, 0.08
(order as listed above)
Summary of calculated volume in Å³/cell
243.6, 125.6, 160.7, 121.4, 486.1, 91.1
(order as listed above)
Summary of energy in eV/atom
-5.39, -5.52, -4.89, -5.45, -5.38, -4.16
(order as listed above)